1.
This record from Alexandria via LeMat-Bulk describes a relaxed Cs3KS crystal. The functional is PBE.

Results
V, Å³/atom: 85.67
Symmetry: Pm-3m
Energy above the most stable polymorph in this dataset, meV per atom: 811
Uncorrected formation energy, eV per atom: 0.2860

Cell lengths 7.538, 7.538, 7.538 Å; angles 90.00, 90.00, 90.00 degrees
Positions (direct):
Cs  0.000  0.500  0.000
Cs  0.000  0.000  0.500
Cs  0.500  0.000  0.000
K  0.000  0.000  0.000
S  0.500  0.500  0.500

---

2.
This record from Alexandria via LeMat-Bulk describes a relaxed PrNd3N crystal. The functional is PBE.

Results
V, Å³/atom: 27.70
Symmetry: Pm-3m
Uncorrected formation energy, eV per atom: -0.4241

Cell lengths 5.174, 5.174, 5.174 Å; angles 90.00, 90.00, 90.00 degrees
Positions (direct):
Pr  0.500  0.500  0.500
Nd  0.000  0.500  0.000
Nd  0.000  0.000  0.500
Nd  0.500  0.000  0.000
N  0.000  0.000  0.000

---

3.
This record from Alexandria via LeMat-Bulk describes a relaxed CaTaTc crystal. The functional is PBE.

Results
V, Å³/atom: 20.56
Energy of formation from the pure elements, meV per atom: 397
Symmetry: Fmm2
Energy above the most stable polymorph in this dataset, meV per atom: 209

Cell lengths 7.628, 7.382, 3.057 Å; angles 82.81, 73.76, 23.43 degrees
Positions (direct):
Ca  0.990  0.990  0.010
Tc  0.319  0.319  0.681
Ta  0.690  0.690  0.310

---

Across the entries above, final energy takes the values -1.271 -5.906 -7.677 eV per atom, respectively.
Across the entries above, total moment takes the values 0.00 0.00 0.00 μB/f.u., respectively.